VASP calculation (GGA-PBE) on a relaxed structure of Sr7Ga2Hg2.

Lattice parameters (Å, degrees): 7.5349 8.3837 7.5349 89.85 112.98 90.15
Closest atoms and distances in Å follow each position.
Fractional coordinates of all 11 atoms:
Sr 0.5009 0.2835 0.9994  2 Hg 3.22
Hg 0.6983 0.9999 0.3017  6 Sr 3.22-3.36
Ga 0.1530 0.5000 0.1530  1 Ga 2.55
Hg 0.3017 0.0001 0.6983  6 Sr 3.22-3.36
Sr 0.0000 0.0000 0.0000  2 Hg 3.79
Ga 0.8470 0.5000 0.8470  1 Ga 2.55
Sr 0.5006 0.2690 0.4994  2 Hg 3.36, 2 Ga 3.48
Sr 0.0006 0.2835 0.4991  2 Hg 3.22
Sr 0.4991 0.7165 0.0006  2 Hg 3.22
Sr 0.4994 0.7310 0.5006  2 Hg 3.36, 2 Ga 3.48
Sr 0.9994 0.7165 0.5009  2 Hg 3.22

Results
Energy relative to the elements (eV per atom): -0.19
Space group: C2/m, No. 12



VASP calculation (GGA-PBE) on a relaxed structure of KBeZn2.

Lattice parameters (Å, degrees): 6.4813 5.9520 2.6332 86.51 72.88 118.64
Closest atoms and distances in Å follow each position.
Fractional coordinates of all 4 atoms:
Zn 0.0000 0.0000 0.0000  2 Zn 2.63
K 0.5000 0.5000 0.0000  2 K 2.63
Be 0.0000 0.5000 0.5000  2 Be 2.63
Zn 0.5000 0.0000 0.5000  2 Zn 2.63

Results
Energy relative to the elements (eV per atom): 0.72
Space group: C2/m, No. 12



VASP calculation (GGA-PBE) on a relaxed structure of Rb2TcAgBr6.

Lattice parameters (Å, degrees): 7.6925 7.6925 7.6928 60.00 60.00 90.00
Closest atoms and distances in Å follow each position.
Fractional coordinates of all 10 atoms:
Br 0.2619 0.7381 0.0000  1 Tc 2.59, 1 Ag 2.85
Rb 0.2500 0.7500 0.5000  12 Br 3.85
Br 0.2620 0.2620 0.4761  1 Tc 2.59, 1 Ag 2.85
Ag 0.0000 0.0000 0.0000  6 Br 2.85
Br 0.7381 0.7381 0.0000  1 Tc 2.59, 1 Ag 2.85
Tc 0.5000 0.5000 0.0000  6 Br 2.59
Br 0.7381 0.2619 0.0000  1 Tc 2.59, 1 Ag 2.85
Br 0.2619 0.2619 0.0000  1 Tc 2.59, 1 Ag 2.85
Rb 0.7500 0.2500 0.5000  12 Br 3.85
Br 0.7380 0.7380 0.5239  1 Tc 2.59, 1 Ag 2.85

Results
Energy relative to the elements, uncorrected (meV per atom): -860
Space group: Fm-3m, No. 225



VASP calculation (GGA-PBE) on a relaxed structure of RbFeTc2.

Lattice parameters (Å, degrees): 4.8843 4.8843 9.1909 74.59 74.59 90.00
Closest atoms and distances in Å follow each position.
Fractional coordinates of all 8 atoms:
Tc 0.8750 0.6250 0.7500  2 Tc 2.44, 2 Fe 2.45
Rb 0.7500 0.2500 0.5000  4 Fe 3.45, 8 Tc 3.46
Fe 0.5000 0.5000 0.0000  4 Tc 2.45
Tc 0.3750 0.6250 0.7500  2 Tc 2.44, 2 Fe 2.45
Rb 0.0000 0.0000 0.0000  4 Fe 3.45, 8 Tc 3.46
Fe 0.2500 0.7500 0.5000  4 Tc 2.45
Tc 0.3750 0.6250 0.2500  2 Tc 2.44, 2 Fe 2.45
Tc 0.3750 0.1250 0.2500  2 Tc 2.44, 2 Fe 2.45

Results
Energy relative to the elements (eV per atom): 1.64
Space group: I4_1/amd, No. 141



VASP calculation (GGA-PBE) on a relaxed structure of CaPr4Os.

Lattice parameters (Å, degrees): 6.2635 7.1887 9.5254 90.00 102.80 90.00
Closest atoms and distances in Å follow each position.
Fractional coordinates of all 12 atoms:
Os 0.8221 0.7500 0.0461  6 Pr 2.82-2.93
Pr 0.3655 0.7500 0.9342  1 Os 2.82
Pr 0.1535 0.4939 0.1967  2 Os 2.90-2.93
Ca 0.2803 0.7500 0.5524  7 Pr 3.56-3.86
Pr 0.6345 0.2500 0.0658  1 Os 2.82
Ca 0.7197 0.2500 0.4476  7 Pr 3.56-3.86
Pr 0.8465 0.5061 0.8033  2 Os 2.90-2.93
Pr 0.8465 0.9939 0.8033  2 Os 2.90-2.93
Pr 0.2920 0.2500 0.6839  1 Os 2.82
Pr 0.1535 0.0061 0.1967  2 Os 2.90-2.93
Pr 0.7080 0.7500 0.3161  1 Os 2.82
Os 0.1779 0.2500 0.9539  6 Pr 2.82-2.93

Results
Energy relative to the elements (eV per atom): 0.02
Space group: P2_1/m, No. 11



VASP calculation (GGA-PBE) on a relaxed structure of NdBiRh2.

Lattice parameters (Å, degrees): 3.7126 4.7268 4.7268 90.00 90.00 90.00
Closest atoms and distances in Å follow each position.
Fractional coordinates of all 4 atoms:
Rh 0.0000 0.0000 0.5000  4 Bi 3.01, 4 Nd 3.01, 4 Rh 3.34
Nd 0.5000 0.5000 0.5000  8 Rh 3.01, 4 Bi 3.34
Bi 0.5000 0.0000 0.0000  8 Rh 3.01, 4 Nd 3.34
Rh 0.0000 0.5000 0.0000  4 Bi 3.01, 4 Nd 3.01, 4 Rh 3.34

Results
Energy relative to the elements (eV per atom): -0.46
Space group: P4/mmm, No. 123



VASP calculation (GGA-PBE) on a relaxed structure of CdCuRe2.

Lattice parameters (Å, degrees): 4.6527 4.6527 4.6527 127.58 127.58 77.31
Closest atoms and distances in Å follow each position.
Fractional coordinates of all 4 atoms:
Re 0.0000 0.0000 0.0000  4 Re 2.74, 4 Cu 2.74, 4 Cd 2.91
Re 0.2500 0.7500 0.5000  4 Cd 2.74, 4 Re 2.74, 4 Cu 2.91
Cu 0.7500 0.2500 0.5000  4 Cd 2.74, 8 Re 2.74-2.91
Cd 0.5000 0.5000 0.0000  4 Cu 2.74, 8 Re 2.74-2.91

Results
Energy relative to the elements (eV per atom): 0.55
Space group: I-4m2, No. 119



VASP calculation (GGA-PBE) on a relaxed structure of NaPm4PrSe8.

Lattice parameters (Å, degrees): 8.6739 8.6739 8.7145 60.15 60.15 60.00
Closest atoms and distances in Å follow each position.
Fractional coordinates of all 14 atoms:
Pr 0.0043 0.0043 0.9870  6 Se 2.93-3.06
Pm 0.0045 0.0045 0.5045  6 Se 2.89-3.03
Pm 0.6255 0.6255 0.1235  4 Se 2.83-2.84
Se 0.2268 0.7561 0.2610  3 Pm 2.83-3.03, 1 Pr 3.06
Se 0.7561 0.7561 0.2610  3 Pm 2.83-3.03, 1 Pr 3.06
Se 0.2426 0.2426 0.7367  1 Na 2.86, 2 Pm 2.89, 1 Pr 2.93
Se 0.2426 0.7780 0.7367  1 Na 2.86, 2 Pm 2.89, 1 Pr 2.93
Se 0.7780 0.2426 0.7367  1 Na 2.86, 2 Pm 2.89, 1 Pr 2.93
Se 0.7582 0.7582 0.7253  4 Pm 2.84-3.03
Na 0.3741 0.3741 0.8776  4 Se 2.86-2.87
Se 0.2401 0.2401 0.2798  1 Na 2.87, 3 Pm 2.90
Pm 0.4865 0.0045 0.5045  6 Se 2.89-3.03
Pm 0.0045 0.4865 0.5045  6 Se 2.89-3.03
Se 0.7561 0.2268 0.2610  3 Pm 2.83-3.03, 1 Pr 3.06

Results
Energy relative to the elements, uncorrected (meV per atom): -1760
Space group: R3m, No. 160